Material: Rb2AlSi
Method: DFT, PBE
State: optimized geometry

Lattice parameters (Å, degrees): 4.663 4.663 12.839 79.54 79.54 90.00
Fractional positions:
Al1 0.500 0.500 0.000
Al2 0.250 0.750 0.500
Rb1 0.375 0.373 0.750
Rb2 0.875 0.877 0.750
Rb3 0.123 0.625 0.250
Rb4 0.627 0.125 0.250
Si1 0.000 0.000 0.000
Si2 0.750 0.250 0.500

Properties
For the polymorph energy (0 for the lowest one), the calculation gives 109 meV/atom. The value obtained for the density of states at the Fermi level is 5.0 states/eV per cell.

=====

Material: RbAl2Si2
Method: DFT, PBE
State: optimized geometry

Lattice parameters (Å, degrees): 4.592 4.592 6.083 67.83 67.83 90.00
Fractional positions:
Si1 0.376 0.376 0.249
Si2 0.624 0.624 0.751
Al1 0.750 0.250 0.500
Al2 0.250 0.750 0.500
Rb1 0.000 0.000 0.000

Properties
For the polymorph energy (0 for the lowest one), the calculation gives 0 meV/atom. The value obtained for the density of states at the Fermi level is 1.6 states/eV per cell.

=====

Material: RbAlSi
Method: DFT, PBE
State: optimized geometry

Lattice parameters (Å, degrees): 4.269 4.269 11.695 90.00 90.00 120.00
Fractional positions:
Al1 0.333 0.667 0.250
Al2 0.667 0.333 0.750
Rb1 0.000 0.000 0.500
Rb2 0.000 0.000 0.000
Si1 0.333 0.667 0.750
Si2 0.667 0.333 0.250

Properties
The value obtained for the density of states at the Fermi level is 0.0 states/eV per cell.

=====

Material: RbAlSi
Method: DFT, PBE
State: optimized geometry

Lattice parameters (Å, degrees): 8.355 4.663 7.578 90.00 90.00 90.00
Fractional positions:
Si1 0.333 0.250 0.602
Si2 0.167 0.750 0.102
Si3 0.833 0.250 0.898
Si4 0.667 0.750 0.398
Al1 0.851 0.750 0.083
Al2 0.351 0.750 0.417
Al3 0.649 0.250 0.583
Al4 0.149 0.250 0.917
Rb1 0.500 0.250 0.154
Rb2 0.500 0.750 0.846
Rb3 0.000 0.250 0.346
Rb4 0.000 0.750 0.654

Properties
The value obtained for the density of states at the Fermi level is 0.0 states/eV per cell.

=====

Material: RbAlSi
Method: DFT, PBE
State: optimized geometry

Lattice parameters (Å, degrees): 6.914 6.339 4.101 90.00 90.00 90.00
Fractional positions:
Al1 0.000 0.500 0.500
Al2 0.500 0.500 0.500
Si1 0.750 0.500 0.076
Si2 0.250 0.500 0.924
Rb1 0.250 0.000 0.263
Rb2 0.750 0.000 0.737

Properties
The value obtained for the density of states at the Fermi level is 0.6 states/eV per cell.

=====

Material: RbAlSi
Method: DFT, PBE
State: optimized geometry

Lattice parameters (Å, degrees): 10.984 4.230 8.933 90.00 90.00 90.00
Fractional positions:
Rb1 0.687 0.250 0.052
Rb2 0.313 0.750 0.948
Rb3 0.813 0.750 0.552
Rb4 0.187 0.250 0.448
Si1 0.491 0.750 0.291
Si2 0.991 0.750 0.209
Si3 0.509 0.250 0.709
Si4 0.009 0.250 0.791
Al1 0.533 0.250 0.421
Al2 0.967 0.750 0.921
Al3 0.467 0.750 0.579
Al4 0.033 0.250 0.079

Properties
The value obtained for the density of states at the Fermi level is 0.0 states/eV per cell.

=====

Material: RbAlSi
Method: DFT, PBE
State: optimized geometry

Lattice parameters (Å, degrees): 4.894 4.894 7.422 90.00 90.00 120.00
Fractional positions:
Si1 0.000 0.000 0.312
Si2 0.000 0.000 0.688
Rb1 0.667 0.333 0.500
Rb2 0.667 0.333 0.000
Al1 0.333 0.667 0.205
Al2 0.333 0.667 0.795

Properties
The value obtained for the density of states at the Fermi level is 0.2 states/eV per cell.

=====

Material: RbAlSi
Method: DFT, PBE
State: optimized geometry

Lattice parameters (Å, degrees): 4.183 11.813 7.308 36.08 73.37 90.00
Fractional positions:
Al1 0.844 0.094 0.312
Al2 0.156 0.906 0.688
Rb1 0.500 0.000 0.000
Rb2 0.500 0.500 0.000
Si1 0.169 0.419 0.661
Si2 0.831 0.581 0.339

Properties
The value obtained for the density of states at the Fermi level is 2.7 states/eV per cell.

=====

Material: RbAlSi2
Method: DFT, PBE
State: optimized geometry

Lattice parameters (Å, degrees): 4.331 4.331 7.025 72.05 72.05 60.00
Fractional positions:
Si1 0.698 0.698 0.907
Si2 0.302 0.302 0.093
Rb1 0.500 0.500 0.500
Al1 0.000 0.000 0.000

Properties
The value obtained for the density of states at the Fermi level is 3.1 states/eV per cell.

=====

Material: RbAl2Si2
Method: DFT, PBE
State: optimized geometry

Lattice parameters (Å, degrees): 8.168 8.168 3.076 90.00 90.00 90.00
Fractional positions:
Si1 0.351 0.149 0.500
Si2 0.149 0.649 0.500
Si3 0.649 0.851 0.500
Si4 0.851 0.351 0.500
Rb1 0.500 0.500 0.000
Rb2 0.000 0.000 0.000
Al1 0.125 0.375 0.000
Al2 0.375 0.875 0.000
Al3 0.625 0.125 0.000
Al4 0.875 0.625 0.000

Properties
For the polymorph energy (0 for the lowest one), the calculation gives 238 meV/atom. The value obtained for the density of states at the Fermi level is 3.2 states/eV per cell.

=====

Material: RbAl2SiTc
Method: DFT, PBE
State: optimized geometry

Lattice parameters (Å, degrees): 4.937 4.937 4.728 90.00 90.00 90.00
Fractional positions:
Al1 0.000 0.500 0.000
Al2 0.500 0.000 0.000
Tc1 0.000 0.000 0.000
Rb1 0.500 0.500 0.500
Si1 0.000 0.000 0.500

Properties
The value obtained for the density of states at the Fermi level is 0.7 states/eV per cell.

=====

Material: RbAlSi2Te8
Method: DFT, PBE
State: optimized geometry

Lattice parameters (Å, degrees): 6.312 6.312 13.793 76.77 76.77 60.00
Fractional positions:
Te1 0.333 0.709 0.853
Te2 0.667 0.291 0.147
Te3 0.291 0.895 0.147
Te4 0.709 0.105 0.853
Te5 0.105 0.333 0.853
Te6 0.801 0.801 0.598
Te7 0.895 0.667 0.147
Te8 0.199 0.199 0.402
Si1 0.740 0.740 0.779
Si2 0.260 0.260 0.221
Al1 0.000 0.000 0.000
Rb1 0.500 0.500 0.500

Properties
The value obtained for the density of states at the Fermi level is 3.8 states/eV per cell.

=====

Material: RbAlSiTe2
Method: DFT, PBE
State: optimized geometry

Lattice parameters (Å, degrees): 6.323 5.655 6.323 90.00 90.00 90.00
Fractional positions:
Te1 0.500 0.000 0.000
Te2 0.000 0.000 0.500
Si1 0.500 0.500 0.500
Al1 0.000 0.500 0.000
Rb1 0.000 0.000 0.000

Properties
The value obtained for the density of states at the Fermi level is 3.2 states/eV per cell.

=====

The following raw formation energy values (in meV/atom) correspond, in order, to the records above: 838, 57, -11, 108, 271, 94, 405, 107, 219, 295, -52, -108, 1414.